(a)
TaNiAsBr2 after structural relaxation. Source: Alexandria, functional PBE-GGA.

Calculated values
For the density of states at the Fermi level, the calculation gives 0.6817 states/eV/atom.

Lattice parameters (Å, degrees): 4.657 4.657 4.884 90.00 90.00 90.00
Space group P4/mmm (No. 123)
Unique sites:
1 Ta 0.000 0.000 0.000 x1
2 Ni 0.500 0.500 0.500 x1
3 As 0.500 0.500 0.000 x1
4 Br 0.000 0.500 0.500 x2

---

(b)
TaNiAsBr2 after structural relaxation. Source: Alexandria, functional PBE-GGA.

Calculated values
For the density of states at the Fermi level, the calculation gives 1.5881 states/eV/atom.

Lattice parameters (Å, degrees): 5.067 5.067 5.132 90.00 90.00 90.00
Space group P4/mmm (No. 123)
Unique sites:
1 Ta 0.000 0.000 0.000 x1
2 Ni 0.500 0.500 0.500 x1
3 As 0.000 0.000 0.500 x1
4 Br 0.000 0.500 0.000 x2

---

Most stable of them? (b).

---

(a)
NiTeAs2Br after structural relaxation. Source: Alexandria, functional PBE-GGA.

Calculated values
For the density of states at the Fermi level, the calculation gives 2.1552 states/eV/atom.

Lattice parameters (Å, degrees): 5.379 5.379 5.470 90.00 90.00 90.00
Space group P4/mmm (No. 123)
Unique sites:
1 Ni 0.000 0.000 0.000 x1
2 Te 0.500 0.500 0.500 x1
3 As 0.000 0.500 0.500 x2
4 Br 0.500 0.500 0.000 x1

---

(b)
NiTeAs2Br after structural relaxation. Source: Alexandria, functional PBE-GGA.

Calculated values
For the density of states at the Fermi level, the calculation gives 1.0552 states/eV/atom.

Lattice parameters (Å, degrees): 4.795 4.795 4.743 90.00 90.00 90.00
Space group P4/mmm (No. 123)
Unique sites:
1 Ni 0.000 0.000 0.000 x1
2 Te 0.500 0.500 0.500 x1
3 As 0.000 0.500 0.000 x2
4 Br 0.000 0.000 0.500 x1

---

Most stable of them? (b).

---

(a)
TlNiAsBr2 after structural relaxation. Source: Alexandria, functional PBE-GGA.

Calculated values
For the density of states at the Fermi level, the calculation gives 0.7466 states/eV/atom.

Lattice parameters (Å, degrees): 5.435 5.435 4.449 90.00 90.00 90.00
Space group P4/mmm (No. 123)
Unique sites:
1 Tl 0.000 0.000 0.000 x1
2 Ni 0.500 0.500 0.500 x1
3 As 0.500 0.500 0.000 x1
4 Br 0.000 0.500 0.500 x2

---

(b)
TlNiAsBr2 after structural relaxation. Source: Alexandria, functional PBE-GGA.

Calculated values
For the density of states at the Fermi level, the calculation gives 1.3770 states/eV/atom.

Lattice parameters (Å, degrees): 5.718 5.718 5.483 90.00 90.00 90.00
Space group P4/mmm (No. 123)
Unique sites:
1 Tl 0.000 0.000 0.000 x1
2 Ni 0.500 0.500 0.500 x1
3 As 0.000 0.000 0.500 x1
4 Br 0.000 0.500 0.000 x2

---

Most stable of them? (a).

---

(a)
VNiAs2Br after structural relaxation. Source: Alexandria, functional PBE-GGA.

Calculated values
For the density of states at the Fermi level, the calculation gives 1.7888 states/eV/atom.

Lattice parameters (Å, degrees): 4.654 4.654 5.262 90.00 90.00 90.00
Space group P4/mmm (No. 123)
Unique sites:
1 V 0.000 0.000 0.000 x1
2 Ni 0.500 0.500 0.500 x1
3 As 0.000 0.500 0.000 x2
4 Br 0.000 0.000 0.500 x1

---

(b)
VNiAs2Br after structural relaxation. Source: Alexandria, functional PBE-GGA.

Calculated values
For the density of states at the Fermi level, the calculation gives 1.3587 states/eV/atom.

Lattice parameters (Å, degrees): 4.521 4.521 5.131 90.00 90.00 90.00
Space group P4/mmm (No. 123)
Unique sites:
1 V 0.000 0.000 0.000 x1
2 Ni 0.500 0.500 0.500 x1
3 As 0.000 0.500 0.500 x2
4 Br 0.500 0.500 0.000 x1

---

Most stable of them? (b).

---

(a)
YNiAs2Br after structural relaxation. Source: Alexandria, functional PBE-GGA.

Calculated values
For the density of states at the Fermi level, the calculation gives 0.5244 states/eV/atom.

Lattice parameters (Å, degrees): 4.648 4.648 4.987 90.00 90.00 90.00
Space group P4/mmm (No. 123)
Unique sites:
1 Y 0.000 0.000 0.000 x1
2 Ni 0.500 0.500 0.500 x1
3 As 0.000 0.500 0.500 x2
4 Br 0.500 0.500 0.000 x1

---

(b)
YNiAs2Br after structural relaxation. Source: Alexandria, functional PBE-GGA.

Calculated values
For the density of states at the Fermi level, the calculation gives 2.4797 states/eV/atom.

Lattice parameters (Å, degrees): 5.497 5.497 5.408 90.00 90.00 90.00
Space group P4/mmm (No. 123)
Unique sites:
1 Y 0.000 0.000 0.000 x1
2 Ni 0.500 0.500 0.500 x1
3 As 0.000 0.500 0.000 x2
4 Br 0.000 0.000 0.500 x1

---

Most stable of them? (a).

---

(a)
ZrNiAsBr2 after structural relaxation. Source: Alexandria, functional PBE-GGA.

Calculated values
For the density of states at the Fermi level, the calculation gives 0.9915 states/eV/atom.

Lattice parameters (Å, degrees): 4.662 4.662 5.008 90.00 90.00 90.00
Space group P4/mmm (No. 123)
Unique sites:
1 Zr 0.000 0.000 0.000 x1
2 Ni 0.500 0.500 0.500 x1
3 As 0.500 0.500 0.000 x1
4 Br 0.000 0.500 0.500 x2

---

(b)
ZrNiAsBr2 after structural relaxation. Source: Alexandria, functional PBE-GGA.

Calculated values
For the density of states at the Fermi level, the calculation gives 1.3487 states/eV/atom.

Lattice parameters (Å, degrees): 5.236 5.236 5.377 90.00 90.00 90.00
Space group P4/mmm (No. 123)
Unique sites:
1 Zr 0.000 0.000 0.000 x1
2 Ni 0.500 0.500 0.500 x1
3 As 0.000 0.000 0.500 x1
4 Br 0.000 0.500 0.000 x2

---

Most stable of them? (a).

---

(a)
NpAsBr after structural relaxation. Source: Alexandria, functional PBE-GGA.

Calculated values
For the density of states at the Fermi level, the calculation gives 2.1853 states/eV/atom.

Lattice parameters (Å, degrees): 5.318 9.891 5.237 90.00 90.00 90.00
Space group Cmcm (No. 63)
Unique sites:
1 Np 0.000 0.240 0.250 x4
2 As 0.000 0.102 0.750 x4
3 Br 0.000 0.405 0.750 x4

---

(b)
NpAsBr after structural relaxation. Source: Alexandria, functional PBE-GGA.

Calculated values
For the density of states at the Fermi level, the calculation gives 2.4039 states/eV/atom.

Lattice parameters (Å, degrees): 4.9694 4.9694 3.2399 90.00 90.00 120.00
Space group P-6m2 (No. 187)
Unique sites:
1 Np 0.0000 0.0000 0.0000 x1
2 As 0.3333 0.6667 0.5000 x1
3 Br 0.6667 0.3333 0.0000 x1

---

Most stable of them? (a).

---

(a)
AsBrO2 after structural relaxation. Source: Alexandria, functional PBE-GGA.

Calculated values
For the density of states at the Fermi level, the calculation gives 3.8726 states/eV/atom.

Lattice parameters (Å, degrees): 8.394 8.394 8.394 90.00 90.00 90.00
Space group Fd-3m (No. 227, origin choice 2)
Unique sites:
1 As 0.125 0.125 0.125 x8
2 Br 0.125 0.125 0.625 x8
3 O 0.000 0.000 0.000 x16

---

(b)
AsBrO2 after structural relaxation. Source: Alexandria, functional PBE-GGA.

Calculated values
For the density of states at the Fermi level, the calculation gives 0.9731 states/eV/atom.

Lattice parameters (Å, degrees): 3.1239 3.1239 24.7422 90.00 90.00 120.00
Space group R-3m (No. 166, hexagonal axes)
Unique sites:
1 As 0.0000 0.0000 0.0000 x3
2 Br 0.0000 0.0000 0.5000 x3
3 O 0.0000 0.0000 0.0675 x6

---

Most stable of them? (a).

---

(a)
As3BrO after structural relaxation. Source: Alexandria, functional PBE-GGA.

Calculated values
For the density of states at the Fermi level, the calculation gives 0.7449 states/eV/atom.

Lattice parameters (Å, degrees): 4.560 4.560 4.560 90.00 90.00 90.00
Space group Pm-3m (No. 221)
Unique sites:
1 As 0.000 0.000 0.500 x3
2 Br 0.500 0.500 0.500 x1
3 O 0.000 0.000 0.000 x1

---

(b)
As3BrO after structural relaxation. Source: Alexandria, functional PBE-GGA.

Calculated values
For the density of states at the Fermi level, the calculation gives 2.1802 states/eV/atom.

Lattice parameters (Å, degrees): 5.056 5.056 5.056 90.00 90.00 90.00
Space group Pm-3m (No. 221)
Unique sites:
1 As 0.000 0.000 0.500 x3
2 Br 0.000 0.000 0.000 x1
3 O 0.500 0.500 0.500 x1

---

Most stable of them? (a).

---

(a)
As2BrO2 after structural relaxation. Source: Alexandria, functional PBE-GGA.

Calculated values
For the density of states at the Fermi level, the calculation gives 0.3669 states/eV/atom.

Lattice parameters (Å, degrees): 8.134 8.134 3.143 90.00 90.00 90.00
Space group P4/mbm (No. 127)
Unique sites:
1 As 0.249 0.251 0.000 x4
2 Br 0.000 0.000 0.000 x2
3 O 0.159 0.341 0.500 x4

---

(b)
As2BrO2 after structural relaxation. Source: Alexandria, functional PBE-GGA.

Calculated values
For the density of states at the Fermi level, the calculation gives 0.5165 states/eV/atom.

Lattice parameters (Å, degrees): 3.784 3.784 11.568 90.00 90.00 90.00
Space group I4/mmm (No. 139)
Unique sites:
1 As 0.000 0.000 0.165 x4
2 Br 0.000 0.000 0.500 x2
3 O 0.000 0.500 0.250 x4

---

Most stable of them? (b).

---

(a)
AsOsBr2O after structural relaxation. Source: Alexandria, functional PBE-GGA.

Calculated values
For the density of states at the Fermi level, the calculation gives 1.5647 states/eV/atom.

Lattice parameters (Å, degrees): 5.126 5.126 4.674 90.00 90.00 90.00
Space group P4/mmm (No. 123)
Unique sites:
1 As 0.000 0.000 0.000 x1
2 Os 0.000 0.000 0.500 x1
3 Br 0.000 0.500 0.500 x2
4 O 0.500 0.500 0.000 x1

---

(b)
AsOsBr2O after structural relaxation. Source: Alexandria, functional PBE-GGA.

Calculated values
For the density of states at the Fermi level, the calculation gives 0.6844 states/eV/atom.

Lattice parameters (Å, degrees): 4.577 4.577 4.237 90.00 90.00 90.00
Space group P4/mmm (No. 123)
Unique sites:
1 As 0.000 0.000 0.000 x1
2 Os 0.500 0.500 0.000 x1
3 Br 0.000 0.500 0.500 x2
4 O 0.000 0.000 0.500 x1

---

Most stable of them? (a).

---

(a)
AsP2BrO after structural relaxation. Source: Alexandria, functional PBE-GGA.

Calculated values
For the density of states at the Fermi level, the calculation gives 0.7284 states/eV/atom.

Lattice parameters (Å, degrees): 4.933 4.933 3.802 90.00 90.00 90.00
Space group P4/mmm (No. 123)
Unique sites:
1 As 0.000 0.000 0.000 x1
2 P 0.000 0.500 0.500 x2
3 Br 0.500 0.500 0.500 x1
4 O 0.500 0.500 0.000 x1

---

(b)
AsP2BrO after structural relaxation. Source: Alexandria, functional PBE-GGA.

Calculated values
For the density of states at the Fermi level, the calculation gives 0.8065 states/eV/atom.

Lattice parameters (Å, degrees): 4.947 4.947 3.737 90.00 90.00 90.00
Space group P4/mmm (No. 123)
Unique sites:
1 As 0.000 0.000 0.000 x1
2 P 0.000 0.500 0.000 x2
3 Br 0.500 0.500 0.500 x1
4 O 0.000 0.000 0.500 x1

---

Most stable of them? (b).